Material: NiTeW2
Method: DFT, PBE
State: relaxed

Geometry as extended XYZ:
```
4
Lattice="5.302 0.003 0.000 2.444 4.706 0.000 -3.447 -3.056 2.626" Properties=species:S:1:pos:R:3 pbc="T T T"
W 3.831 2.329 0.000
Ni 2.864 -0.349 1.313
W 0.042 0.025 0.000
Te 1.435 2.002 1.313
```

Computed properties:
Theoretical density = 14.043 g/cm3

***

Material: NiTe2W
Method: DFT, PBE
State: relaxed

Geometry as extended XYZ:
```
4
Lattice="7.764 0.005 0.003 7.004 3.350 0.003 7.004 1.591 2.948" Properties=species:S:1:pos:R:3 pbc="T T T"
Te 10.792 2.451 1.464
W 5.443 1.236 0.738
Te 0.094 0.021 0.013
Ni 16.329 3.709 2.215
```

Computed properties:
ΔE to the lowest computed polymorph = 347 meV/atom
Theoretical density = 10.807 g/cm3

***

Material: NiTe3W
Method: DFT, PBE
State: relaxed

Geometry as extended XYZ:
```
5
Lattice="5.251 0.000 0.000 0.000 5.251 0.000 0.000 0.000 5.251" Properties=species:S:1:pos:R:3 pbc="T T T"
Te 0.000 0.000 2.625
Te 0.000 2.625 0.000
Te 2.625 0.000 0.000
Ni 2.625 2.625 2.625
W 0.000 0.000 0.000
```

Computed properties:
Theoretical density = 7.174 g/cm3

***

Material: NiTeW2
Method: DFT, PBE
State: relaxed

Geometry as extended XYZ:
```
4
Lattice="3.108 -0.009 0.000 0.008 3.108 0.000 0.000 0.000 6.672" Properties=species:S:1:pos:R:3 pbc="T T T"
W 0.000 0.000 3.161
W 0.000 0.000 0.175
Te 1.558 1.549 5.004
Ni 1.558 1.549 1.668
```

Computed properties:
Theoretical density = 14.277 g/cm3

***

| no. | spin magnetization (μB per atom) | N(E_F) (states/eV/cell) | energy (eV per atom) |
| --- | --- | --- | --- |
| 1 | 0.00 | 3.53 | -8.08 |
| 2 | 0.00 | 1.97 | -5.90 |
| 3 | 0.00 | 13.66 | -4.52 |
| 4 | 0.00 | 5.18 | -8.07 |